Entry 1:
VASP calculation (PBE) on a relaxed structure of Rb2TiGaCl6.

a b c (Å): 7.6211 7.6072 7.4210
angles (deg): 58.98 58.97 59.86
With the nearest neighbours (Å) after each atom.
Fractional positions:
Cl: 0.0321 0.5360 0.2859  1 Ti 2.45
Cl: 0.0971 0.4859 0.8172  1 Ti 2.45
Cl: 0.5352 0.1463 0.2857  1 Ti 2.45
Cl: 0.6001 0.0965 0.8169  1 Ti 2.45
Cl: 0.1466 0.0322 0.2868  1 Ti 2.44
Cl: 0.4858 0.6001 0.8159  1 Ti 2.44
Rb: 0.5647 0.5628 0.3099  6 Cl 3.38-3.63
Rb: 0.0676 0.0694 0.7933  6 Cl 3.38-3.64
Ti: 0.3161 0.3162 0.0515  6 Cl 2.44-2.45
Ga: 0.8162 0.8162 0.5520  6 Cl 2.93-2.94

Output
SG: P-1
Calculated density in g/cm³: 2.78
Uncorrected formation energy in eV/atom: -1.579

=====

Entry 2:
VASP calculation (PBE) on a relaxed structure of CaMgRh2.

a b c (Å): 5.3215 5.3215 5.3215
angles (deg): 136.19 136.19 63.68
With the nearest neighbours (Å) after each atom.
Fractional positions:
Rh: 0.0000 0.0000 0.0000  4 Ca 2.81, 4 Mg 3.01, 4 Rh 3.01
Rh: 0.2500 0.7500 0.5000  4 Mg 2.81, 4 Rh 3.01, 4 Ca 3.01
Ca: 0.5000 0.5000 0.0000  8 Rh 2.81-3.01, 4 Mg 3.01
Mg: 0.7500 0.2500 0.5000  8 Rh 2.81-3.01, 4 Ca 3.01

Output
SG: I-4m2
ΔE_f in eV per formula unit: -0.738
Calculated density in g/cm³: 6.30

=====

Entry 3:
VASP calculation (PBE) on a relaxed structure of Ca4DyHg2.

a b c (Å): 5.6986 5.6986 9.3658
angles (deg): 72.29 72.29 60.00
With the nearest neighbours (Å) after each atom.
Fractional positions:
Hg: 0.3907 0.3907 0.8278  1 Dy 2.87, 1 Ca 3.09
Hg: 0.6093 0.6093 0.1722  1 Dy 2.87, 1 Ca 3.09
Ca: 0.8861 0.8861 0.3418  3 Dy 3.57, 3 Ca 3.58, 3 Hg 3.61
Ca: 0.1139 0.1139 0.6582  3 Dy 3.57, 3 Ca 3.58, 3 Hg 3.61
Ca: 0.7266 0.7266 0.8203  4 Hg 3.09-3.29
Ca: 0.2734 0.2734 0.1797  4 Hg 3.09-3.29
Dy: 0.5000 0.5000 0.5000  2 Hg 2.87

Output
SG: R-3m
ΔE_f in eV per formula unit: -0.872
Calculated density in g/cm³: 4.87

=====

Entry 4:
VASP calculation (PBE) on a relaxed structure of CsNaGa4.

a b c (Å): 5.9957 5.9957 5.9957
angles (deg): 60.00 60.00 60.00
With the nearest neighbours (Å) after each atom.
Fractional positions:
Ga: 0.6259 0.1223 0.6259  6 Ga 2.98-3.02
Ga: 0.6259 0.6259 0.6259  6 Ga 2.98-3.02
Ga: 0.6259 0.6259 0.1223  6 Ga 2.98-3.02
Ga: 0.1223 0.6259 0.6259  6 Ga 2.98-3.02
Cs: 0.2500 0.2500 0.2500  12 Ga 3.52, 4 Na 3.67
Na: 0.0000 0.0000 0.0000  12 Ga 3.51, 4 Cs 3.67

Output
SG: F-43m
ΔE_f in eV per formula unit: 0.246
Calculated density in g/cm³: 4.74

=====

Entry 5:
VASP calculation (PBE) on a relaxed structure of TlPd4Se2.

a b c (Å): 4.1503 4.1911 8.5981
angles (deg): 104.11 90.00 90.00
With the nearest neighbours (Å) after each atom.
Fractional positions:
Tl: 0.0000 0.0000 0.0000  8 Se 3.47, 8 Pd 3.81-3.83
Se: 0.5000 0.3901 0.7801  4 Pd 2.48-2.51
Se: 0.5000 0.6099 0.2199  4 Pd 2.48-2.51
Pd: 0.0000 0.6910 0.3820  2 Se 2.48
Pd: 0.0000 0.3090 0.6180  2 Se 2.48
Pd: 0.5000 0.1928 0.3857  2 Se 2.51
Pd: 0.5000 0.8072 0.6143  2 Se 2.51

Output
SG: Cmmm
Calculated density in g/cm³: 9.02
Uncorrected formation energy in eV/atom: -0.235

=====

Entry 6:
VASP calculation (PBE) on a relaxed structure of Nd10TmSc4.

a b c (Å): 8.2714 8.9405 8.9405
angles (deg): 77.64 62.45 62.45
With the nearest neighbours (Å) after each atom.
Fractional positions:
Sc: 0.5654 0.1462 0.7230  6 Nd 3.25-3.42, 2 Sc 3.51
Sc: 0.2884 0.2770 0.1462  6 Nd 3.25-3.42, 2 Sc 3.51
Sc: 0.7116 0.7230 0.8538  6 Nd 3.25-3.42, 2 Sc 3.51
Sc: 0.4346 0.8538 0.2770  6 Nd 3.25-3.42, 2 Sc 3.51
Nd: 0.4220 0.8864 0.6570  3 Nd 3.20-3.34, 3 Sc 3.25-3.42, 1 Tm 3.28
Nd: 0.7500 0.5000 0.5000  4 Nd 3.34
Nd: 0.0347 0.8864 0.6570  3 Nd 3.20-3.34, 3 Sc 3.25-3.42, 1 Tm 3.28
Nd: 0.0789 0.3430 0.8864  3 Nd 3.20-3.34, 3 Sc 3.25-3.42, 1 Tm 3.28
Nd: 0.9653 0.1136 0.3430  3 Nd 3.20-3.34, 3 Sc 3.25-3.42, 1 Tm 3.28
Nd: 0.6917 0.3430 0.8864  3 Nd 3.20-3.34, 3 Sc 3.25-3.42, 1 Tm 3.28
Nd: 0.3083 0.6570 0.1136  3 Nd 3.20-3.34, 3 Sc 3.25-3.42, 1 Tm 3.28
Nd: 0.5780 0.1136 0.3430  3 Nd 3.20-3.34, 3 Sc 3.25-3.42, 1 Tm 3.28
Nd: 0.2500 0.5000 0.5000  4 Nd 3.34
Nd: 0.9211 0.6570 0.1136  3 Nd 3.20-3.34, 3 Sc 3.25-3.42, 1 Tm 3.28
Tm: 0.0000 0.0000 0.0000  8 Nd 3.28

Output
SG: I4/m
ΔE_f in eV per formula unit: 7.787
Calculated density in g/cm³: 5.72

=====

Entry 7:
VASP calculation (PBE) on a relaxed structure of K3TlBi.

a b c (Å): 8.7689 8.7689 8.7689
angles (deg): 92.82 109.91 127.62
With the nearest neighbours (Å) after each atom.
Fractional positions:
Tl: 0.7623 0.3330 0.9293  1 Bi 2.94
Tl: 0.4036 0.8330 0.0707  1 Bi 2.94
Bi: 0.4686 0.3316 0.6370  1 Tl 2.94
Bi: 0.6947 0.8316 0.3630  1 Tl 2.94
K: 0.0839 0.8452 0.2651  2 Bi 3.71-3.73, 2 Tl 3.79, 4 K 3.87-4.12
K: 0.1077 0.3296 0.2781  1 Tl 3.51, 1 Bi 3.61
K: 0.5801 0.3452 0.2613  2 Bi 3.71-3.73, 2 Tl 3.79, 4 K 3.87-4.12
K: 0.0515 0.8296 0.7219  1 Tl 3.51, 1 Bi 3.61
K: 0.5801 0.8188 0.7349  2 Bi 3.71-3.73, 2 Tl 3.79, 4 K 3.87-4.12
K: 0.0839 0.3188 0.7387  2 Bi 3.71-3.73, 2 Tl 3.79, 4 K 3.87-4.12

Output
SG: Ima2
ΔE_f in eV per formula unit: -0.794
Calculated density in g/cm³: 3.74
Energy above the most stable polymorph in this dataset in eV/f.u.: 0.58

=====

Entry 8:
VASP calculation (PBE) on a relaxed structure of Tb2Pr3Er7.

a b c (Å): 3.5257 6.3402 17.9787
angles (deg): 104.26 90.00 90.00
With the nearest neighbours (Å) after each atom.
Fractional positions:
Er: 0.0000 0.5656 0.8349  2 Tb 3.47, 7 Er 3.52-3.67, 3 Pr 3.56-3.71
Er: 0.5000 0.2473 0.5000  2 Er 3.14-3.20, 2 Tb 3.42-3.44
Er: 0.5000 0.0585 0.8348  1 Tb 3.48, 8 Er 3.53-3.67, 3 Pr 3.54-3.71
Er: 0.5000 0.7527 0.5000  2 Er 3.14-3.20, 2 Tb 3.42-3.44
Er: 0.0000 0.0000 0.0000  8 Er 3.52-3.55, 4 Pr 3.63
Er: 0.5000 0.9415 0.1652  1 Tb 3.48, 8 Er 3.53-3.67, 3 Pr 3.54-3.71
Er: 0.0000 0.4344 0.1651  2 Tb 3.47, 7 Er 3.52-3.67, 3 Pr 3.56-3.71
Pr: 0.0000 0.8869 0.3410  2 Pr 3.53, 4 Tb 3.61-3.66, 7 Er 3.63-3.71
Pr: 0.0000 0.1131 0.6590  2 Pr 3.53, 4 Tb 3.61-3.66, 7 Er 3.63-3.71
Pr: 0.5000 0.5000 0.0000  2 Pr 3.53, 10 Er 3.54-3.63
Tb: 0.5000 0.3803 0.3258  5 Er 3.42-3.48, 2 Tb 3.53, 4 Pr 3.61-3.66
Tb: 0.5000 0.6197 0.6742  5 Er 3.42-3.48, 2 Tb 3.53, 4 Pr 3.61-3.66

Output
SG: P2/m
ΔE_f in eV per formula unit: 1.090
Calculated density in g/cm³: 8.15
Energy above the most stable polymorph in this dataset in eV/f.u.: 0.04

=====

Entry 9:
VASP calculation (PBE) on a relaxed structure of CsKLi2Sn.

a b c (Å): 5.6245 5.6245 6.6278
angles (deg): 90.00 90.00 90.00
With the nearest neighbours (Å) after each atom.
Fractional positions:
Cs: 0.5000 0.5000 0.5000  4 K 3.98, 8 Li 4.35
Li: 0.0000 0.5000 0.0000  2 Sn 2.81
Li: 0.5000 0.0000 0.0000  2 Sn 2.81
Sn: 0.0000 0.0000 0.0000  4 Li 2.81
K: 0.0000 0.0000 0.5000  2 Sn 3.31

Output
SG: P4/mmm
ΔE_f in eV per formula unit: -0.434
Calculated density in g/cm³: 2.41

=====

Entry 10:
VASP calculation (PBE) on a relaxed structure of La4Hg2Cl.

a b c (Å): 4.2578 6.9978 8.1501
angles (deg): 74.86 74.86 72.29
With the nearest neighbours (Å) after each atom.
Fractional positions:
Hg: 0.3744 0.5755 0.6758  1 Hg 3.12, 7 La 3.21-3.44
Hg: 0.6256 0.4245 0.3242  1 Hg 3.12, 7 La 3.21-3.44
Cl: 0.0000 0.0000 0.0000  6 La 2.89-2.97
La: 0.6691 0.7401 0.9216  2 Cl 2.89, 2 Hg 3.21
La: 0.0869 0.1987 0.6275  1 Cl 2.97
La: 0.3309 0.2599 0.0784  2 Cl 2.89, 2 Hg 3.21
La: 0.9131 0.8013 0.3725  1 Cl 2.97

Output
SG: C2/m
Calculated density in g/cm³: 7.53
Energy above the most stable polymorph in this dataset in eV/f.u.: 0.00
Uncorrected formation energy in eV/atom: -0.728

=====

What did we get for spin magnetization? Answer: 1.0, 0.0, 0.0, 0.0, 0.0, 0.0, 0.0, 0.0, 0.0, 0.0 μB per formula unit, in the order shown.